# 1
Crystalline Sm2Cu2O5 at its relaxed geometry, computed with PBE.

Geometry as POSCAR:
```
Sm2Cu2O5
1.0
3.852 0.000 -1.131
-0.493 4.636 -1.679
-0.106 -0.205 6.762
Sm Cu O
2 2 5
Direct
0.619 0.330 0.237
0.381 0.670 0.763
0.901 0.202 0.803
0.099 0.798 0.197
0.589 0.801 0.179
0.411 0.199 0.821
0.811 0.424 0.623
0.189 0.576 0.377
0.000 0.000 0.000
```

**VASP energy**: -6.846 eV/atom
**Space group**: No. 12
**Mass density**: 7.10 g/cm³
**Calculated volume**: 118.75 Å³/cell
**ΔE to the lowest computed polymorph**: 0 meV per atom

=====

# 2
Crystalline Sm4Cu2O at its relaxed geometry, computed with PBE.

Geometry as POSCAR:
```
Sm4Cu2O
1.0
4.808 0.000 0.000
0.000 4.808 0.000
2.404 2.404 7.022
O Cu Sm
1 2 4
Direct
0.000 0.000 0.000
0.619 0.619 0.762
0.381 0.381 0.238
0.813 0.813 0.374
0.187 0.187 0.626
0.000 0.500 0.000
0.500 0.000 0.000
```

**VASP energy**: -5.430 eV/atom
**Space group**: No. 139
**Mass density**: 7.62 g/cm³
**Calculated volume**: 162.32 Å³/cell

=====

# 3
Crystalline Sm2CuO at its relaxed geometry, computed with PBE.

Geometry as POSCAR:
```
Sm2CuO
1.0
-1.955 2.841 -0.844
-2.837 0.848 1.959
3.158 5.942 5.220
O Cu Sm
1 1 2
Direct
0.500 0.500 0.500
0.000 0.000 0.000
0.112 0.112 0.663
0.888 0.888 0.337
```

**VASP energy**: -5.478 eV/atom
**Space group**: No. 166
**Mass density**: 7.00 g/cm³
**Calculated volume**: 90.24 Å³/cell

=====

# 4
Crystalline SmCu2O4 at its relaxed geometry, computed with PBE.

Geometry as POSCAR:
```
SmCu2O4
1.0
5.750 0.013 2.588
2.880 4.687 1.302
0.428 0.000 6.732
Sm Cu O
2 4 8
Direct
0.749 0.500 0.502
0.001 0.000 0.998
0.875 0.750 0.750
0.375 0.250 0.250
0.375 0.750 0.250
0.375 0.250 0.750
0.609 0.351 0.270
0.141 0.149 0.230
0.232 0.648 0.728
0.039 0.352 0.728
0.121 0.649 0.270
0.518 0.852 0.771
0.711 0.148 0.772
0.629 0.851 0.230
```

**VASP energy**: -6.225 eV/atom
**Space group**: No. 15
**Mass density**: 6.44 g/cm³
**Calculated volume**: 175.99 Å³/cell
**ΔE to the lowest computed polymorph**: 95 meV per atom

=====

# 5
Crystalline Sm2CuO4 at its relaxed geometry, computed with PBE.

Geometry as POSCAR:
```
Sm2CuO4
1.0
6.666 0.000 0.000
4.341 5.058 0.000
-5.504 -2.529 2.783
Sm Cu O
2 1 4
Direct
0.650 0.650 0.000
0.350 0.350 0.000
0.000 0.000 0.000
0.750 0.250 0.500
0.250 0.750 0.500
0.500 0.000 0.500
0.000 0.500 0.500
```

**VASP energy**: -7.388 eV/atom
**Space group**: No. 139
**Mass density**: 7.58 g/cm³
**Calculated volume**: 93.85 Å³/cell

=====

# 6
Crystalline Sm2Cu2O5 at its relaxed geometry, computed with PBE.

Geometry as POSCAR:
```
Sm2Cu2O5
1.0
8.645 -0.064 0.000
5.242 6.875 0.000
-6.847 -3.603 3.858
Sm Cu O
4 4 10
Direct
0.901 0.383 0.513
0.099 0.611 0.482
0.371 0.883 0.482
0.629 0.111 0.513
0.000 0.008 0.008
0.500 0.508 0.008
0.713 0.728 0.941
0.287 0.228 0.016
0.278 0.272 0.510
0.722 0.232 0.994
0.262 0.772 0.994
0.738 0.732 0.510
0.946 0.912 0.130
0.054 0.184 0.966
0.283 0.412 0.966
0.717 0.684 0.130
0.651 0.333 0.484
0.349 0.833 0.683
```

**VASP energy**: -6.759 eV/atom
**Space group**: No. 46
**Mass density**: 7.31 g/cm³
**Calculated volume**: 230.62 Å³/cell
**ΔE to the lowest computed polymorph**: 87 meV per atom